Model P:
# HgSNF2 (PBE, optimized geometry)
data_HgSNF2
_chemical_formula_sum 'Hg1 S1 N1 F2'
_cell_length_a 4.4399
_cell_length_b 4.4399
_cell_length_c 4.4327
_cell_angle_alpha 90.00
_cell_angle_beta 90.00
_cell_angle_gamma 90.00
_symmetry_space_group_name_H-M 'P 4/m m m'
_symmetry_Int_Tables_number 123
_symmetry_space_group_name_Hall '-P 4 2'
loop_
_atom_site_label
_atom_site_type_symbol
_atom_site_fract_x
_atom_site_fract_y
_atom_site_fract_z
Hg1 Hg 0.0000 0.0000 0.0000
S1 S 0.5000 0.5000 0.5000
N1 N 0.0000 0.0000 0.5000
F1 F 0.0000 0.5000 0.0000
# Crystal system: tetragonal
# Spin magnetization (μB per formula unit): 1.76

=====

Model Q:
# HgSNF2 (PBE, optimized geometry)
data_HgSNF2
_chemical_formula_sum 'Hg1 S1 N1 F2'
_cell_length_a 4.7482
_cell_length_b 4.7482
_cell_length_c 3.2870
_cell_angle_alpha 90.00
_cell_angle_beta 90.00
_cell_angle_gamma 90.00
_symmetry_space_group_name_H-M 'P 4/m m m'
_symmetry_Int_Tables_number 123
_symmetry_space_group_name_Hall '-P 4 2'
loop_
_atom_site_label
_atom_site_type_symbol
_atom_site_fract_x
_atom_site_fract_y
_atom_site_fract_z
Hg1 Hg 0.0000 0.0000 0.0000
S1 S 0.5000 0.5000 0.5000
N1 N 0.5000 0.5000 0.0000
F1 F 0.0000 0.5000 0.5000
# Crystal system: tetragonal
# Spin magnetization (μB per formula unit): 0.00

=====

Verdict on stability: model Q comes out on top.

=====

Model P:
# HgS2NF (PBE, optimized geometry)
data_HgS2NF
_chemical_formula_sum 'Hg1 S2 N1 F1'
_cell_length_a 4.2926
_cell_length_b 4.2926
_cell_length_c 4.8873
_cell_angle_alpha 90.00
_cell_angle_beta 90.00
_cell_angle_gamma 90.00
_symmetry_space_group_name_H-M 'P 4/m m m'
_symmetry_Int_Tables_number 123
_symmetry_space_group_name_Hall '-P 4 2'
loop_
_atom_site_label
_atom_site_type_symbol
_atom_site_fract_x
_atom_site_fract_y
_atom_site_fract_z
Hg1 Hg 0.0000 0.0000 0.0000
S1 S 0.0000 0.5000 0.5000
N1 N 0.5000 0.5000 0.0000
F1 F 0.5000 0.5000 0.5000
# Crystal system: tetragonal
# Spin magnetization (μB per formula unit): 2.69

=====

Model Q:
# HgS2NF (PBE, optimized geometry)
data_HgS2NF
_chemical_formula_sum 'Hg1 S2 N1 F1'
_cell_length_a 5.1744
_cell_length_b 5.1744
_cell_length_c 4.2950
_cell_angle_alpha 90.00
_cell_angle_beta 90.00
_cell_angle_gamma 90.00
_symmetry_space_group_name_H-M 'P 4/m m m'
_symmetry_Int_Tables_number 123
_symmetry_space_group_name_Hall '-P 4 2'
loop_
_atom_site_label
_atom_site_type_symbol
_atom_site_fract_x
_atom_site_fract_y
_atom_site_fract_z
Hg1 Hg 0.0000 0.0000 0.0000
S1 S 0.0000 0.5000 0.0000
N1 N 0.0000 0.0000 0.5000
F1 F 0.5000 0.5000 0.5000
# Crystal system: tetragonal
# Spin magnetization (μB per formula unit): 4.93

=====

Verdict on stability: model P comes out on top.

=====

Model P:
# ScHgNF2 (PBE, optimized geometry)
data_ScHgNF2
_chemical_formula_sum 'Sc1 Hg1 N1 F2'
_cell_length_a 4.0150
_cell_length_b 4.0150
_cell_length_c 4.5635
_cell_angle_alpha 90.00
_cell_angle_beta 90.00
_cell_angle_gamma 90.00
_symmetry_space_group_name_H-M 'P 4/m m m'
_symmetry_Int_Tables_number 123
_symmetry_space_group_name_Hall '-P 4 2'
loop_
_atom_site_label
_atom_site_type_symbol
_atom_site_fract_x
_atom_site_fract_y
_atom_site_fract_z
Sc1 Sc 0.0000 0.0000 0.0000
Hg1 Hg 0.5000 0.5000 0.5000
N1 N 0.0000 0.0000 0.5000
F1 F 0.0000 0.5000 0.0000
# Crystal system: tetragonal
# Spin magnetization (μB per formula unit): 0.00

=====

Model Q:
# ScHgNF2 (PBE, optimized geometry)
data_ScHgNF2
_chemical_formula_sum 'Sc1 Hg1 N1 F2'
_cell_length_a 4.4278
_cell_length_b 4.4278
_cell_length_c 4.2417
_cell_angle_alpha 90.00
_cell_angle_beta 90.00
_cell_angle_gamma 90.00
_symmetry_space_group_name_H-M 'P 4/m m m'
_symmetry_Int_Tables_number 123
_symmetry_space_group_name_Hall '-P 4 2'
loop_
_atom_site_label
_atom_site_type_symbol
_atom_site_fract_x
_atom_site_fract_y
_atom_site_fract_z
Sc1 Sc 0.0000 0.0000 0.0000
Hg1 Hg 0.5000 0.5000 0.5000
N1 N 0.5000 0.5000 0.0000
F1 F 0.0000 0.5000 0.5000
# Crystal system: tetragonal
# Spin magnetization (μB per formula unit): 0.34

=====

Verdict on stability: model P comes out on top.